The following is a PBE-GGA calculation of a geometry-optimized InSnPd6 structure, from Alexandria.

Lattice parameters (Å, degrees): 5.170 5.177 5.213 93.90 94.64 94.64
Fractional coordinates of all 8 atoms:
In  0.000  0.000  0.000
Sn  0.500  0.500  0.500
Pd  0.058  0.750  0.445
Pd  0.250  0.555  0.939
Pd  0.447  0.057  0.749
Pd  0.553  0.943  0.251
Pd  0.750  0.445  0.061
Pd  0.942  0.250  0.555

Properties
- Fermi-level density of states (states/eV/f.u.) = 3.496
- space-group type = P-1 (2)
- relative energy among the computed polymorphs (eV per atom) = 0.125
- crystal system = triclinic

***

The following is a PBE-GGA calculation of a geometry-optimized InSnPd2 structure, from Alexandria.

Lattice parameters (Å, degrees): 8.200 6.154 6.217 90.00 90.09 90.00
Fractional coordinates of all 16 atoms:
In  0.123  0.117  0.316
In  0.123  0.383  0.816
In  0.877  0.617  0.184
In  0.877  0.883  0.684
Sn  0.372  0.602  0.181
Sn  0.372  0.898  0.681
Sn  0.628  0.102  0.319
Sn  0.628  0.398  0.819
Pd  0.130  0.675  0.481
Pd  0.130  0.825  0.981
Pd  0.382  0.181  0.019
Pd  0.382  0.319  0.519
Pd  0.618  0.681  0.481
Pd  0.618  0.819  0.981
Pd  0.870  0.175  0.019
Pd  0.870  0.325  0.519

Properties
- Fermi-level density of states (states/eV/f.u.) = 1.655
- space-group type = P2_1/c (14)
- crystal system = monoclinic

***

The following is a PBE-GGA calculation of a geometry-optimized InSnPd2 structure, from Alexandria.

Lattice parameters (Å, degrees): 3.340 3.340 6.628 90.00 90.00 90.00
Fractional coordinates of all 4 atoms:
In  0.000  0.000  0.000
Sn  0.000  0.000  0.500
Pd  0.500  0.500  0.241
Pd  0.500  0.500  0.759

Properties
- Fermi-level density of states (states/eV/f.u.) = 1.014
- space-group type = P4/mmm (123)
- crystal system = tetragonal

***

The following is a PBE-GGA calculation of a geometry-optimized In5SnPd6 structure, from Alexandria.

Lattice parameters (Å, degrees): 7.452 7.452 6.581 90.00 90.00 143.35
Fractional coordinates of all 12 atoms:
In  0.000  0.000  0.000
In  0.331  0.669  0.500
In  0.333  0.667  0.000
In  0.667  0.333  0.000
In  0.669  0.331  0.500
Sn  0.000  0.000  0.500
Pd  0.165  0.835  0.249
Pd  0.165  0.835  0.751
Pd  0.500  0.500  0.252
Pd  0.500  0.500  0.748
Pd  0.835  0.165  0.249
Pd  0.835  0.165  0.751

Properties
- Fermi-level density of states (states/eV/f.u.) = 3.570
- space-group type = Cmmm (65)
- crystal system = orthorhombic

***

The following is a PBE-GGA calculation of a geometry-optimized In2SnPd8 structure, from Alexandria.

Lattice parameters (Å, degrees): 7.527 7.527 7.527 148.10 120.31 69.29
Fractional coordinates of all 11 atoms:
In  0.165  0.165  0.000
In  0.835  0.835  0.000
Sn  0.500  0.500  0.000
Pd  0.083  0.336  0.747
Pd  0.244  0.000  0.244
Pd  0.333  0.833  0.500
Pd  0.411  0.664  0.747
Pd  0.589  0.336  0.253
Pd  0.667  0.167  0.500
Pd  0.756  0.000  0.756
Pd  0.917  0.664  0.253

Properties
- Fermi-level density of states (states/eV/f.u.) = 3.801
- space-group type = Immm (71)
- relative energy among the computed polymorphs (eV per atom) = 0.012
- crystal system = orthorhombic

***

The following is a PBE-GGA calculation of a geometry-optimized InSnPd3 structure, from Alexandria.

Lattice parameters (Å, degrees): 4.950 4.950 4.950 90.00 90.00 90.00
Fractional coordinates of all 5 atoms:
In  0.000  0.000  0.000
Sn  0.500  0.500  0.500
Pd  0.000  0.500  0.500
Pd  0.500  0.000  0.500
Pd  0.500  0.500  0.000

Properties
- Fermi-level density of states (states/eV/f.u.) = 3.210
- space-group type = Pm-3m (221)
- relative energy among the computed polymorphs (eV per atom) = 0.772
- crystal system = cubic

***

For reference, DFT formation energy by record: -8.00; -11.45; -10.17; -11.02; -9.96; 7.21 kcal/mol of atoms.